Record 1
A plane-wave DFT calculation with PBE was carried out for crystalline Fe3PdAu2 at its relaxed geometry.

Computed properties:
The calculation puts the formation energy at 0.379 eV per atom. The crystal system is hexagonal. For the total energy, the calculation gives -5.727 eV/atom.

a b c (Å): 5.0473 5.0473 4.1947
angles (deg): 90.00 90.00 120.00
Space group P6/mmm (No. 191)
One atom of each set of equivalent atoms:
Fe: 0.0000 0.5000 0.0000
Pd: 0.0000 0.0000 0.5000
Au: 0.3333 0.6667 0.5000

***

Record 2
A plane-wave DFT calculation with PBE was carried out for crystalline Fe2PdAu at its relaxed geometry.

Computed properties:
The calculation puts the formation energy at 0.101 eV per atom. The crystal system is cubic. For the total energy, the calculation gives -6.163 eV/atom.

a b c (Å): 6.164 6.164 6.164
angles (deg): 90.00 90.00 90.00
Space group F-43m (No. 216)
One atom of each set of equivalent atoms:
Fe: 0.000 0.000 0.000
Fe: 0.250 0.250 0.250
Pd: 0.000 0.000 0.500
Au: 0.250 0.250 0.750

***

Record 3
A plane-wave DFT calculation with PBE was carried out for crystalline FeSbPdAu at its relaxed geometry.

Computed properties:
The crystal system is cubic. For the total energy, the calculation gives -5.225 eV/atom. The calculation puts the energy relative to the lowest polymorph listed for this composition at 0 meV per atom.

a b c (Å): 6.484 6.484 6.484
angles (deg): 90.00 90.00 90.00
Space group F-43m (No. 216)
One atom of each set of equivalent atoms:
Fe: 0.000 0.000 0.000
Sb: 0.250 0.250 0.750
Pd: 0.000 0.000 0.500
Au: 0.250 0.250 0.250